# 1
Material: Gd4Pb2O
Method: DFT, PBE
State: optimized geometry

Properties
**Electronic total energy**: -76.9 eV/f.u.
**Space-group type**: I4/mmm, No. 139
**Total moment**: 0.47 μB per cell

abc: 4.694 4.694 9.144
angles: 104.87 104.87 90.00
Each line ends with the local moment (μB).
Fractional coordinates of all 7 atoms:
1 Pb 0.639 0.639 0.277  -0.01
2 Pb 0.361 0.361 0.723  -0.01
3 Gd 0.828 0.828 0.655  7.11
4 Gd 0.172 0.172 0.345  7.11
5 Gd 0.000 0.500 0.000  -7.04
6 Gd 0.500 0.000 0.000  -7.04
7 O 0.000 0.000 0.000  0.02


# 2
Material: BaMn2As2
Method: DFT, PBE
State: optimized geometry

Properties
**Electronic total energy**: -32.3 eV/f.u.
**Energy of formation**: -0.55 eV per atom
**Space-group type**: I4/mmm, No. 139
**Total moment**: 4.05 μB per cell

abc: 3.910 3.910 7.309
angles: 105.51 105.51 90.00
Each line ends with the local moment (μB).
Fractional coordinates of all 5 atoms:
1 As 0.355 0.355 0.711  -0.10
2 As 0.645 0.645 0.289  -0.10
3 Mn 0.250 0.750 0.500  2.10
4 Mn 0.750 0.250 0.500  2.10
5 Ba 0.000 0.000 0.000  -0.01